Entry 1:
Entry from the Alexandria database: a relaxed structure of K2BaCr (PBE-GGA).

Computed properties:
M_tot	4.68	μB per cell
energy	-0.0986	hartree per atom
E_form	0.752	eV/atom
DOS at the Fermi energy	0.81	states/eV/atom

The structure in POSCAR format:
```
K2BaCr
1.0
3.7446 -6.5379 0.0000
3.7446 6.5379 0.0000
0.0000 0.0000 4.2004
K Ba Cr
2 1 1
direct
0.0000 0.5000 0.0000 K
0.5000 0.0000 0.0000 K
0.0000 0.0000 0.5000 Ba
0.5000 0.5000 0.5000 Cr
```

=====

Entry 2:
Entry from the Alexandria database: a relaxed structure of Dy2B2Ru2C (PBE-GGA).

Computed properties:
M_tot	0.00	μB per cell
energy	-0.2817	hartree per atom
E_form	-0.474	eV/atom
DOS at the Fermi energy	0.45	states/eV/atom

The structure in POSCAR format:
```
Dy2B2Ru2C
1.0
5.4125 -1.8342 0.0000
5.4125 1.8342 0.0000
-3.9676 0.0000 5.2790
Dy B Ru C
2 2 2 1
direct
0.0637 0.0637 0.3185 Dy
0.9363 0.9363 0.6815 Dy
0.3185 0.3185 0.2568 B
0.6815 0.6815 0.7432 B
0.2937 0.2937 0.8963 Ru
0.7063 0.7063 0.1037 Ru
0.5000 0.5000 0.0000 C
```

=====

Entry 3:
Entry from the Alexandria database: a relaxed structure of Nd4Tl2I5 (PBE-GGA).

Computed properties:
M_tot	0.00	μB per cell
energy	-0.1312	hartree per atom
DOS at the Fermi energy	0.70	states/eV/atom
formation energy from raw total energies	-702	meV per atom

The structure in POSCAR format:
```
Nd4Tl2I5
1.0
-2.0248 4.5751 11.9345
2.0248 -4.5751 11.9345
2.0248 4.5751 -11.9345
Nd Tl I
4 2 5
direct
0.0994 0.0994 0.0000 Nd
0.2089 0.5000 0.7089 Nd
0.7911 0.5000 0.2911 Nd
0.9006 0.9006 0.0000 Nd
0.2570 0.2570 0.0000 Tl
0.7430 0.7430 0.0000 Tl
0.1181 0.3644 0.7537 I
0.3893 0.6356 0.7537 I
0.5000 0.0000 0.5000 I
0.6107 0.3644 0.2463 I
0.8819 0.6356 0.2463 I
```

=====

Entry 4:
Entry from the Alexandria database: a relaxed structure of K4Rb7Na (PBE-GGA).

Computed properties:
M_tot	0.00	μB per cell
energy	-0.0377	hartree per atom
E_form	0.015	eV/atom
DOS at the Fermi energy	0.72	states/eV/atom

The structure in POSCAR format:
```
K4Rb7Na
1.0
7.6861 -3.5115 0.0000
7.6861 3.5115 0.0000
-7.6577 0.0000 17.6110
K Rb Na
4 7 1
direct
0.0000 0.0000 0.0000 K
0.0578 0.0578 0.5300 K
0.3888 0.3888 0.6205 K
0.6887 0.6887 0.1827 K
0.0315 0.0315 0.2651 Rb
0.0553 0.0553 0.7743 Rb
0.3506 0.3506 0.0887 Rb
0.3769 0.3769 0.3590 Rb
0.6745 0.6745 0.9359 Rb
0.7216 0.7216 0.4481 Rb
0.7331 0.7331 0.7078 Rb
0.3692 0.3692 0.8547 Na
```

=====

Entry 5:
Entry from the Alexandria database: a relaxed structure of Ce12ReSi6 (PBE-GGA).

Computed properties:
M_tot	5.78	μB per cell
energy	-0.2355	hartree per atom
DOS at the Fermi energy	2.31	states/eV/atom
formation energy from raw total energies	-293	meV per atom

The structure in POSCAR format:
```
Ce12ReSi6
1.0
5.7232 3.3043 4.0905
-5.7232 3.3043 4.0905
0.0000 -6.6085 4.0905
Ce Re Si
12 1 6
direct
0.0385 0.9315 0.6623 Ce
0.0685 0.3377 0.9615 Ce
0.1534 0.4102 0.5114 Ce
0.3377 0.9615 0.0685 Ce
0.4102 0.5114 0.1534 Ce
0.4886 0.8466 0.5898 Ce
0.5114 0.1534 0.4102 Ce
0.5898 0.4886 0.8466 Ce
0.6623 0.0385 0.9315 Ce
0.8466 0.5898 0.4886 Ce
0.9315 0.6623 0.0385 Ce
0.9615 0.0685 0.3377 Ce
0.5000 0.5000 0.5000 Re
0.1766 0.7599 0.3406 Si
0.2401 0.6594 0.8234 Si
0.3406 0.1766 0.7599 Si
0.6594 0.8234 0.2401 Si
0.7599 0.3406 0.1766 Si
0.8234 0.2401 0.6594 Si
```

=====

Entry 6:
Entry from the Alexandria database: a relaxed structure of Sr3Ge2Pd4 (PBE-GGA).

Computed properties:
M_tot	0.00	μB per cell
energy	-0.1683	hartree per atom
E_form	-0.686	eV/atom
DOS at the Fermi energy	0.45	states/eV/atom

The structure in POSCAR format:
```
Sr3Ge2Pd4
1.0
5.7914 -2.1828 0.0000
5.7914 2.1828 0.0000
-3.4291 0.0000 8.5869
Sr Ge Pd
3 2 4
direct
0.0000 0.0000 0.0000 Sr
0.3767 0.3767 0.3042 Sr
0.6233 0.6233 0.6958 Sr
0.3456 0.3456 0.6988 Ge
0.6544 0.6544 0.3012 Ge
0.1607 0.1607 0.4353 Pd
0.2802 0.2802 0.9278 Pd
0.7198 0.7198 0.0722 Pd
0.8393 0.8393 0.5647 Pd
```

=====

Entry 7:
Entry from the Alexandria database: a relaxed structure of TaGeAu (PBE-GGA).

Computed properties:
M_tot	0.00	μB per cell
energy	-0.2431	hartree per atom
E_form	-0.033	eV/atom
DOS at the Fermi energy	0.48	states/eV/atom

The structure in POSCAR format:
```
TaGeAu
1.0
2.9580 0.0000 0.0000
1.1336 5.1127 0.0000
1.2679 2.3168 7.0782
Ta Ge Au
2 2 2
direct
0.0357 0.1465 0.1266 Ta
0.9643 0.8535 0.8734 Ta
0.4241 0.5825 0.1882 Ge
0.5759 0.4175 0.8118 Ge
0.4197 0.7899 0.4548 Au
0.5803 0.2101 0.5452 Au
```

=====

Entry 8:
Entry from the Alexandria database: a relaxed structure of Sc2In2Se (PBE-GGA).

Computed properties:
M_tot	0.00	μB per cell
energy	-0.1848	hartree per atom
DOS at the Fermi energy	0.45	states/eV/atom
formation energy from raw total energies	-704	meV per atom

The structure in POSCAR format:
```
Sc2In2Se
1.0
7.0379 0.0000 0.0000
0.0000 7.0379 0.0000
0.0000 0.0000 4.7992
Sc In Se
4 4 2
direct
0.1633 0.3367 0.0000 Sc
0.3367 0.8367 0.0000 Sc
0.6633 0.1633 0.0000 Sc
0.8367 0.6633 0.0000 Sc
0.1477 0.6477 0.5000 In
0.3523 0.1477 0.5000 In
0.6477 0.8523 0.5000 In
0.8523 0.3523 0.5000 In
0.0000 0.0000 0.0000 Se
0.5000 0.5000 0.0000 Se
```

=====

Entry 9:
Entry from the Alexandria database: a relaxed structure of Mn5Si (PBE-GGA).

Computed properties:
M_tot	0.62	μB per cell
energy	-0.3184	hartree per atom
DOS at the Fermi energy	0.95	states/eV/atom
formation energy from raw total energies	-120	meV per atom

The structure in POSCAR format:
```
Mn5Si
1.0
2.6229 0.0000 0.0000
0.0000 2.6229 0.0000
0.0000 0.0000 9.8572
Mn Si
5 1
direct
0.0000 0.0000 0.0000 Mn
0.0000 0.0000 0.3422 Mn
0.0000 0.0000 0.6578 Mn
0.5000 0.5000 0.1781 Mn
0.5000 0.5000 0.8219 Mn
0.5000 0.5000 0.5000 Si
```

=====

Entry 10:
Entry from the Alexandria database: a relaxed structure of Be5C4 (PBE-GGA).

Computed properties:
M_tot	0.00	μB per cell
energy	-0.1828	hartree per atom
E_form	1.196	eV/atom
DOS at the Fermi energy	0.36	states/eV/atom

The structure in POSCAR format:
```
Be5C4
1.0
-3.4294 3.4294 1.5119
3.4294 -3.4294 1.5119
3.4294 3.4294 -1.5119
Be C
5 4
direct
0.0000 0.0000 0.0000 Be
0.3303 0.3303 0.6606 Be
0.3303 0.6697 0.0000 Be
0.6697 0.3303 0.0000 Be
0.6697 0.6697 0.3394 Be
0.0000 0.2460 0.2460 C
0.0000 0.7540 0.7540 C
0.2460 0.0000 0.2460 C
0.7540 0.0000 0.7540 C
```

=====

Entry 11:
Entry from the Alexandria database: a relaxed structure of Zn4CdAu7 (PBE-GGA).

Computed properties:
M_tot	0.00	μB per cell
energy	-0.0909	hartree per atom
E_form	-0.060	eV/atom
DOS at the Fermi energy	0.29	states/eV/atom

The structure in POSCAR format:
```
Zn4CdAu7
1.0
5.4387 -2.5577 0.0000
5.4387 2.5577 0.0000
-4.9555 0.0000 8.1989
Zn Cd Au
4 1 7
direct
0.0867 0.0867 0.2777 Zn
0.2343 0.2343 0.8298 Zn
0.7657 0.7657 0.1702 Zn
0.9133 0.9133 0.7223 Zn
0.5000 0.5000 0.5000 Cd
0.0000 0.0000 0.5000 Au
0.1387 0.1387 0.0354 Au
0.2882 0.2882 0.5968 Au
0.4297 0.4297 0.1557 Au
0.5703 0.5703 0.8443 Au
0.7118 0.7118 0.4032 Au
0.8613 0.8613 0.9646 Au
```

=====

Entry 12:
Entry from the Alexandria database: a relaxed structure of TlCdGa4 (PBE-GGA).

Computed properties:
M_tot	0.00	μB per cell
energy	-0.0917	hartree per atom
E_form	0.071	eV/atom
DOS at the Fermi energy	0.31	states/eV/atom

The structure in POSCAR format:
```
TlCdGa4
1.0
8.4762 0.0000 0.0000
0.0000 16.2126 0.0000
0.0000 0.0000 4.1434
Tl Cd Ga
4 4 16
direct
0.1287 0.1498 0.0000 Tl
0.3713 0.6498 0.0000 Tl
0.6287 0.3502 0.0000 Tl
0.8713 0.8502 0.0000 Tl
0.1306 0.4150 0.0000 Cd
0.3694 0.9150 0.0000 Cd
0.6306 0.0850 0.0000 Cd
0.8694 0.5850 0.0000 Cd
0.0105 0.6994 0.5000 Ga
0.1201 0.5531 0.5000 Ga
0.1315 0.9649 0.5000 Ga
0.2110 0.8126 0.5000 Ga
0.2890 0.3126 0.5000 Ga
0.3685 0.4649 0.5000 Ga
0.3799 0.0531 0.5000 Ga
0.4895 0.1994 0.5000 Ga
0.5105 0.8006 0.5000 Ga
0.6201 0.9469 0.5000 Ga
0.6315 0.5351 0.5000 Ga
0.7110 0.6874 0.5000 Ga
0.7890 0.1874 0.5000 Ga
0.8685 0.0351 0.5000 Ga
0.8799 0.4469 0.5000 Ga
0.9895 0.3006 0.5000 Ga
```

=====

no.,calculated volume (Å³/cell)
1,205.7
2,104.8
3,442.2
4,950.6
5,464.1
6,217.1
7,107.0
8,237.7
9,67.8
10,71.1
11,228.1
12,569.4